No. 1
## DyHo9Th2 (GGA-PBE)

Data for an optimized crystal structure of DyHo9Th2.

Cell: 5.0031 5.0031 14.9635 Å, 90.00 90.00 90.00°
Sites, in units of the cell vectors:
Ho 0.0000 0.5000 0.8320
Th 0.0000 0.0000 0.6657
Ho 0.5000 0.5000 0.3328
Ho 0.5000 0.0000 0.1680
Th 0.0000 0.0000 0.3343
Dy 0.0000 0.0000 0.0000
Ho 0.0000 0.5000 0.5000
Ho 0.5000 0.5000 0.6672
Ho 0.0000 0.5000 0.1680
Ho 0.5000 0.0000 0.8320
Ho 0.5000 0.5000 0.0000
Ho 0.5000 0.0000 0.5000

Calculated values
The total energy comes out at -60.24 eV for the cell shown. The volume comes out at 374.5 Å³/f.u. The value obtained for the formation energy is 33 meV per atom.

---

No. 2
## DyHo9Th2 (GGA-PBE)

Data for an optimized crystal structure of DyHo9Th2.

Cell: 3.4655 11.2907 11.2907 Å, 120.00 90.00 90.00°
Sites, in units of the cell vectors:
Th 0.0000 0.3333 0.6667
Ho 0.0000 0.0000 0.5000
Ho 0.5000 0.8264 0.6527
Ho 0.5000 0.8264 0.1736
Th 0.0000 0.6667 0.3333
Ho 0.5000 0.3473 0.1736
Ho 0.5000 0.1736 0.3473
Ho 0.0000 0.5000 0.5000
Dy 0.0000 0.0000 0.0000
Ho 0.0000 0.5000 0.0000
Ho 0.5000 0.6527 0.8264
Ho 0.5000 0.1736 0.8264

Calculated values
The total energy comes out at -59.33 eV for the cell shown. The volume comes out at 382.6 Å³/f.u. The value obtained for the formation energy is 109 meV per atom.

---

No. 3
## DyHoTh (GGA-PBE)

Data for an optimized crystal structure of DyHoTh.

Cell: 3.5727 3.5727 17.3391 Å, 90.03 95.88 119.99°
Sites, in units of the cell vectors:
Dy 0.3886 0.6937 0.0823
Th 0.7215 0.8610 0.5826
Th 0.2785 0.1390 0.4174
Ho 0.1660 0.5839 0.7498
Ho 0.8340 0.4161 0.2502
Dy 0.6114 0.3063 0.9177

Calculated values
The total energy comes out at -33.09 eV for the cell shown. The volume comes out at 95.2 Å³/f.u. The value obtained for the formation energy is 18 meV per atom.

---

No. 4
## Dy2Ho5Th (GGA-PBE)

Data for an optimized crystal structure of Dy2Ho5Th.

Cell: 5.0074 7.0705 14.1656 Å, 90.00 90.00 90.00°
Sites, in units of the cell vectors:
Ho 0.0000 0.0000 0.0000
Ho 0.0000 0.4997 0.2491
Dy 0.5000 0.7454 0.8766
Ho 0.5000 0.7450 0.1233
Ho 0.0000 0.9997 0.2509
Ho 0.0000 0.0003 0.7491
Ho 0.5000 0.7550 0.6233
Dy 0.5000 0.7546 0.3766
Ho 0.5000 0.2550 0.8767
Ho 0.0000 0.5003 0.7509
Th 0.0000 0.0000 0.5000
Ho 0.5000 0.2450 0.3767
Ho 0.0000 0.5000 0.5000
Th 0.0000 0.5000 0.0000
Dy 0.5000 0.2546 0.1234
Dy 0.5000 0.2454 0.6234

Calculated values
The total energy comes out at -78.61 eV for the cell shown. The volume comes out at 250.8 Å³/f.u. The value obtained for the formation energy is 26 meV per atom.

---

Question: Which of these has the highest total energy?
Answer: DyHoTh